Here is an optimized crystal structure of Li2Cr2P4H3O16 from Alexandria. Energies are from PBE with a Hubbard U.

Cell: 4.910 7.475 8.038 Å, 89.90 88.75 76.94°
Space group P1 (No. 1)
Asymmetric unit:
Li 0.000 0.000 0.000 x1
Li 0.233 0.687 0.266 x1
Cr 0.125 0.842 0.636 x1
Cr 0.626 0.345 0.133 x1
P 0.008 0.606 0.978 x1
P 0.240 0.089 0.294 x1
P 0.507 0.097 0.792 x1
P 0.741 0.588 0.478 x1
H 0.032 0.372 0.625 x1
H 0.538 0.336 0.650 x1
H 0.580 0.868 0.149 x1
O 0.088 0.653 0.799 x1
O 0.159 0.028 0.466 x1
O 0.267 0.996 0.811 x1
O 0.275 0.513 0.075 x1
O 0.376 0.905 0.192 x1
O 0.383 0.281 0.692 x1
O 0.437 0.219 0.303 x1
O 0.499 0.701 0.581 x1
O 0.603 0.150 0.963 x1
O 0.639 0.538 0.308 x1
O 0.752 0.985 0.691 x1
O 0.823 0.464 0.968 x1
O 0.844 0.399 0.573 x1
O 0.877 0.782 0.077 x1
O 0.981 0.172 0.190 x1
O 0.983 0.689 0.460 x1

Properties
Energy (eV per atom): -6.760
Fermi-level density of states (states/eV/cell): 5.5